Record 1
First-principles (GGA-PBEsol) data for SrC2 after structural relaxation, as listed in Alexandria via LeMat-Bulk.

Lattice parameters (Å, degrees): 5.142 5.142 5.142 116.47 116.47 96.23
Atoms (fractional coordinates):
1 Sr 0.250 0.250 0.000
2 Sr 0.750 0.750 0.000
3 C 0.082 0.582 0.664
4 C 0.418 0.082 0.500
5 C 0.582 0.918 0.500
6 C 0.918 0.418 0.336

Calculated values
Total energy, eV per atom: -6.7144
Formation energy from the elements, eV/atom: 0.328
Volume, Å³ per atom: 16.8

***

Record 2
First-principles (GGA-PBEsol) data for Sr3C after structural relaxation, as listed in Alexandria via LeMat-Bulk.

Lattice parameters (Å, degrees): 4.718 4.718 6.542 90.00 90.00 90.00
Atoms (fractional coordinates):
1 Sr 0.000 0.000 0.000
2 Sr 0.000 0.500 0.445
3 Sr 0.500 0.000 0.445
4 C 0.500 0.500 0.260

Calculated values
Total energy, eV per atom: -2.9945
Formation energy from the elements, eV/atom: 0.797
Volume, Å³ per atom: 36.4

***

Record 3
First-principles (GGA-PBEsol) data for SrC2 after structural relaxation, as listed in Alexandria via LeMat-Bulk.

Lattice parameters (Å, degrees): 2.724 2.724 4.657 90.00 90.00 90.00
Atoms (fractional coordinates):
1 Sr 0.000 0.000 0.000
2 C 0.000 0.500 0.500
3 C 0.500 0.000 0.500

Calculated values
Total energy, eV per atom: -4.9157
Formation energy from the elements, eV/atom: 2.127
Volume, Å³ per atom: 11.5

***

Record 4
First-principles (GGA-PBEsol) data for SrC after structural relaxation, as listed in Alexandria via LeMat-Bulk.

Lattice parameters (Å, degrees): 5.140 5.140 6.556 90.00 90.00 120.00
Atoms (fractional coordinates):
1 Sr 0.000 0.000 0.250
2 Sr 0.000 0.000 0.750
3 Sr 0.333 0.667 0.250
4 Sr 0.667 0.333 0.750
5 C 0.333 0.667 0.650
6 C 0.333 0.667 0.850
7 C 0.667 0.333 0.150
8 C 0.667 0.333 0.350

Calculated values
Total energy, eV per atom: -5.1348
Formation energy from the elements, eV/atom: 0.607
Volume, Å³ per atom: 18.7

***

Record 5
First-principles (GGA-PBEsol) data for Sr2C after structural relaxation, as listed in Alexandria via LeMat-Bulk.

Lattice parameters (Å, degrees): 6.434 6.434 4.222 90.00 90.00 90.00
Atoms (fractional coordinates):
1 Sr 0.193 0.193 0.000
2 Sr 0.307 0.693 0.500
3 Sr 0.693 0.307 0.500
4 Sr 0.807 0.807 0.000
5 C 0.000 0.000 0.500
6 C 0.500 0.500 0.000

Calculated values
Total energy, eV per atom: -3.9017
Formation energy from the elements, eV/atom: 0.540
Volume, Å³ per atom: 29.1

***

Record 6
First-principles (GGA-PBEsol) data for SrC after structural relaxation, as listed in Alexandria via LeMat-Bulk.

Lattice parameters (Å, degrees): 6.787 6.787 3.525 90.00 90.00 120.00
Atoms (fractional coordinates):
1 Sr 0.000 0.380 0.000
2 Sr 0.380 0.000 0.000
3 Sr 0.620 0.620 0.000
4 C 0.000 0.000 0.000
5 C 0.333 0.667 0.500
6 C 0.667 0.333 0.500

Calculated values
Total energy, eV per atom: -4.2101
Formation energy from the elements, eV/atom: 1.532
Volume, Å³ per atom: 23.4

***

Record 7
First-principles (GGA-PBEsol) data for SrC2 after structural relaxation, as listed in Alexandria via LeMat-Bulk.

Lattice parameters (Å, degrees): 4.431 4.431 4.431 125.56 125.56 80.61
Atoms (fractional coordinates):
1 Sr 0.000 0.000 0.000
2 C 0.407 0.407 0.000
3 C 0.593 0.593 0.000

Calculated values
Total energy, eV per atom: -6.9376
Formation energy from the elements, eV/atom: 0.105
Volume, Å³ per atom: 18.5

***

Record 8
First-principles (GGA-PBEsol) data for SrC2 after structural relaxation, as listed in Alexandria via LeMat-Bulk.

Lattice parameters (Å, degrees): 7.017 7.017 5.826 90.00 90.00 120.00
Atoms (fractional coordinates):
1 Sr 0.000 0.000 0.000
2 Sr 0.333 0.667 0.500
3 Sr 0.667 0.333 0.500
4 C 0.000 0.334 0.744
5 C 0.000 0.666 0.256
6 C 0.334 0.000 0.744
7 C 0.334 0.334 0.256
8 C 0.666 0.000 0.256
9 C 0.666 0.666 0.744

Calculated values
Total energy, eV per atom: -3.6859
Formation energy from the elements, eV/atom: 3.357
Volume, Å³ per atom: 27.6

***

Record 9
First-principles (GGA-PBEsol) data for SrC2 after structural relaxation, as listed in Alexandria via LeMat-Bulk.

Lattice parameters (Å, degrees): 4.720 4.720 4.720 60.00 60.00 60.00
Atoms (fractional coordinates):
1 Sr 0.125 0.125 0.125
2 Sr 0.875 0.875 0.875
3 C 0.000 0.500 0.500
4 C 0.500 0.000 0.500
5 C 0.500 0.500 0.000
6 C 0.500 0.500 0.500

Calculated values
Total energy, eV per atom: -4.9075
Formation energy from the elements, eV/atom: 2.135
Volume, Å³ per atom: 12.4

***

Record 10
First-principles (GGA-PBEsol) data for SrC2 after structural relaxation, as listed in Alexandria via LeMat-Bulk.

Lattice parameters (Å, degrees): 6.105 6.105 6.105 90.00 90.00 90.00
Atoms (fractional coordinates):
1 Sr 0.000 0.000 0.000
2 Sr 0.000 0.500 0.500
3 Sr 0.500 0.000 0.500
4 Sr 0.500 0.500 0.000
5 C 0.060 0.560 0.940
6 C 0.060 0.940 0.440
7 C 0.440 0.060 0.940
8 C 0.440 0.440 0.440
9 C 0.560 0.560 0.560
10 C 0.560 0.940 0.060
11 C 0.940 0.060 0.560
12 C 0.940 0.440 0.060

Calculated values
Total energy, eV per atom: -6.9084
Formation energy from the elements, eV/atom: 0.134
Volume, Å³ per atom: 19.0

***

Record 11
First-principles (GGA-PBEsol) data for SrC2 after structural relaxation, as listed in Alexandria via LeMat-Bulk.

Lattice parameters (Å, degrees): 3.649 3.649 3.649 84.49 84.49 84.49
Atoms (fractional coordinates):
1 Sr 0.000 0.000 0.000
2 C 0.408 0.408 0.408
3 C 0.592 0.592 0.592

Calculated values
Total energy, eV per atom: -6.8325
Formation energy from the elements, eV/atom: 0.210
Volume, Å³ per atom: 16.0

***

Record 12
First-principles (GGA-PBEsol) data for SrC after structural relaxation, as listed in Alexandria via LeMat-Bulk.

Lattice parameters (Å, degrees): 4.280 4.280 7.188 91.24 91.24 54.90
Atoms (fractional coordinates):
1 Sr 0.135 0.135 0.227
2 Sr 0.865 0.865 0.773
3 C 0.431 0.431 0.050
4 C 0.569 0.569 0.950

Calculated values
Total energy, eV per atom: -5.6796
Formation energy from the elements, eV/atom: 0.062
Volume, Å³ per atom: 26.9

***

Record 13
First-principles (GGA-PBEsol) data for SrTc3C after structural relaxation, as listed in Alexandria via LeMat-Bulk.

Lattice parameters (Å, degrees): 4.222 4.222 4.222 90.00 90.00 90.00
Atoms (fractional coordinates):
1 Sr 0.000 0.000 0.000
2 Tc 0.000 0.500 0.500
3 Tc 0.500 0.000 0.500
4 Tc 0.500 0.500 0.000
5 C 0.500 0.500 0.500

Calculated values
Total energy, eV per atom: -8.4289
Formation energy from the elements, eV/atom: 0.628
Volume, Å³ per atom: 15.1

***

Record 14
First-principles (GGA-PBEsol) data for SrTcC3 after structural relaxation, as listed in Alexandria via LeMat-Bulk.

Lattice parameters (Å, degrees): 4.036 4.036 4.036 90.00 90.00 90.00
Atoms (fractional coordinates):
1 Sr 0.000 0.000 0.000
2 Tc 0.500 0.500 0.500
3 C 0.000 0.500 0.500
4 C 0.500 0.000 0.500
5 C 0.500 0.500 0.000

Calculated values
Total energy, eV per atom: -7.4367
Formation energy from the elements, eV/atom: 0.971
Volume, Å³ per atom: 13.1

***

Record 15
First-principles (GGA-PBEsol) data for Sr3TeC after structural relaxation, as listed in Alexandria via LeMat-Bulk.

Lattice parameters (Å, degrees): 6.029 6.029 6.029 90.00 90.00 90.00
Atoms (fractional coordinates):
1 Sr 0.000 0.000 0.500
2 Sr 0.000 0.500 0.000
3 Sr 0.500 0.000 0.000
4 Te 0.000 0.000 0.000
5 C 0.500 0.500 0.500

Calculated values
Total energy, eV per atom: -2.8848
Volume, Å³ per atom: 43.8

***

Record 16
First-principles (GGA-PBEsol) data for Sr2TeC after structural relaxation, as listed in Alexandria via LeMat-Bulk.

Lattice parameters (Å, degrees): 5.308 5.308 5.308 60.00 60.00 60.00
Atoms (fractional coordinates):
1 Sr 0.250 0.250 0.250
2 Sr 0.750 0.750 0.750
3 Te 0.000 0.000 0.000
4 C 0.500 0.500 0.500

Calculated values
Total energy, eV per atom: -4.0083
Volume, Å³ per atom: 26.4

***

Record 17
First-principles (GGA-PBEsol) data for SrTi3C after structural relaxation, as listed in Alexandria via LeMat-Bulk.

Lattice parameters (Å, degrees): 4.408 4.408 4.408 90.00 90.00 90.00
Atoms (fractional coordinates):
1 Sr 0.000 0.000 0.000
2 Ti 0.000 0.500 0.500
3 Ti 0.500 0.000 0.500
4 Ti 0.500 0.500 0.000
5 C 0.500 0.500 0.500

Calculated values
Total energy, eV per atom: -7.0178
Formation energy from the elements, eV/atom: 0.272
Volume, Å³ per atom: 17.1

***

Record 18
First-principles (GGA-PBEsol) data for SrTlC2 after structural relaxation, as listed in Alexandria via LeMat-Bulk.

Lattice parameters (Å, degrees): 7.839 7.839 7.839 144.94 144.94 50.43
Atoms (fractional coordinates):
1 Sr 0.000 0.000 0.000
2 Sr 0.750 0.250 0.500
3 Tl 0.250 0.750 0.500
4 Tl 0.500 0.500 0.000
5 C 0.244 0.625 0.119
6 C 0.375 0.494 0.619
7 C 0.506 0.125 0.881
8 C 0.875 0.756 0.381

Calculated values
Total energy, eV per atom: -4.3055
Formation energy from the elements, eV/atom: 1.634
Volume, Å³ per atom: 19.8

***

Record 19
First-principles (GGA-PBEsol) data for SrTlC2 after structural relaxation, as listed in Alexandria via LeMat-Bulk.

Lattice parameters (Å, degrees): 4.507 4.507 4.507 60.00 60.00 60.00
Atoms (fractional coordinates):
1 Sr 0.000 0.000 0.000
2 Tl 0.500 0.500 0.500
3 C 0.250 0.250 0.250
4 C 0.750 0.750 0.750

Calculated values
Total energy, eV per atom: -4.2268
Formation energy from the elements, eV/atom: 1.713
Volume, Å³ per atom: 16.2

***

Record 20
First-principles (GGA-PBEsol) data for SrYC3 after structural relaxation, as listed in Alexandria via LeMat-Bulk.

Lattice parameters (Å, degrees): 4.485 4.485 4.485 90.00 90.00 90.00
Atoms (fractional coordinates):
1 Sr 0.000 0.000 0.000
2 Y 0.500 0.500 0.500
3 C 0.000 0.500 0.500
4 C 0.500 0.000 0.500
5 C 0.500 0.500 0.000

Calculated values
Total energy, eV per atom: -5.8155
Formation energy from the elements, eV/atom: 1.703
Volume, Å³ per atom: 18.0

***

Record 21
First-principles (GGA-PBEsol) data for SrZnC3 after structural relaxation, as listed in Alexandria via LeMat-Bulk.

Lattice parameters (Å, degrees): 4.553 4.553 4.553 90.00 90.00 90.00
Atoms (fractional coordinates):
1 Sr 0.000 0.000 0.000
2 Zn 0.500 0.500 0.500
3 C 0.000 0.000 0.500
4 C 0.000 0.500 0.000
5 C 0.500 0.000 0.000

Calculated values
Total energy, eV per atom: -2.8055
Formation energy from the elements, eV/atom: 3.665
Volume, Å³ per atom: 18.9

***

Record 22
First-principles (GGA-PBEsol) data for SrZn3C after structural relaxation, as listed in Alexandria via LeMat-Bulk.

Lattice parameters (Å, degrees): 6.130 6.130 6.130 90.00 90.00 90.00
Atoms (fractional coordinates):
1 Sr 0.000 0.000 0.000
2 Zn 0.000 0.000 0.500
3 Zn 0.000 0.500 0.000
4 Zn 0.500 0.000 0.000
5 C 0.500 0.500 0.500

Calculated values
Total energy, eV per atom: -0.9790
Formation energy from the elements, eV/atom: 2.267
Volume, Å³ per atom: 46.1

***

Record 23
First-principles (GGA-PBEsol) data for Ta2C after structural relaxation, as listed in Alexandria via LeMat-Bulk.

Lattice parameters (Å, degrees): 5.394 5.394 5.394 149.80 149.80 43.24
Atoms (fractional coordinates):
1 Ta 0.131 0.131 0.000
2 Ta 0.869 0.869 0.000
3 C 0.500 0.500 0.000

Calculated values
Total energy, eV per atom: -11.3757
Formation energy from the elements, eV/atom: 0.206
Volume, Å³ per atom: 13.2

***

Record 24
First-principles (GGA-PBEsol) data for TaC3 after structural relaxation, as listed in Alexandria via LeMat-Bulk.

Lattice parameters (Å, degrees): 5.604 5.604 5.604 27.83 27.83 27.83
Atoms (fractional coordinates):
1 Ta 0.000 0.000 0.000
2 C 0.228 0.228 0.228
3 C 0.500 0.500 0.500
4 C 0.772 0.772 0.772

Calculated values
Total energy, eV per atom: -8.5912
Formation energy from the elements, eV/atom: 1.779
Volume, Å³ per atom: 8.5

***

Record 25
First-principles (GGA-PBEsol) data for TaC2 after structural relaxation, as listed in Alexandria via LeMat-Bulk.

Lattice parameters (Å, degrees): 3.198 3.198 3.023 90.00 90.00 120.00
Atoms (fractional coordinates):
1 Ta 0.000 0.000 0.000
2 C 0.333 0.667 0.500
3 C 0.667 0.333 0.500

Calculated values
Total energy, eV per atom: -9.3262
Formation energy from the elements, eV/atom: 1.287
Volume, Å³ per atom: 8.9

***

Record 26
First-principles (GGA-PBEsol) data for TaC3 after structural relaxation, as listed in Alexandria via LeMat-Bulk.

Lattice parameters (Å, degrees): 5.153 5.153 4.214 90.00 90.00 139.73
Atoms (fractional coordinates):
1 Ta 0.104 0.896 0.750
2 Ta 0.896 0.104 0.250
3 C 0.203 0.797 0.250
4 C 0.206 0.399 0.750
5 C 0.399 0.206 0.250
6 C 0.601 0.794 0.750
7 C 0.794 0.601 0.250
8 C 0.797 0.203 0.750

Calculated values
Total energy, eV per atom: -9.7421
Formation energy from the elements, eV/atom: 0.628
Volume, Å³ per atom: 9.0

***

Record 27
First-principles (GGA-PBEsol) data for Ta4C5 after structural relaxation, as listed in Alexandria via LeMat-Bulk.

Lattice parameters (Å, degrees): 5.897 5.897 5.897 93.59 93.59 151.00
Atoms (fractional coordinates):
1 Ta 0.000 0.260 0.260
2 Ta 0.000 0.740 0.740
3 Ta 0.260 0.000 0.260
4 Ta 0.740 0.000 0.740
5 C 0.000 0.000 0.000
6 C 0.286 0.286 0.572
7 C 0.286 0.714 0.000
8 C 0.714 0.286 0.000
9 C 0.714 0.714 0.428

Calculated values
Total energy, eV per atom: -10.6473
Formation energy from the elements, eV/atom: 0.289
Volume, Å³ per atom: 10.7

***

Record 28
First-principles (GGA-PBEsol) data for Ta2C after structural relaxation, as listed in Alexandria via LeMat-Bulk.

Lattice parameters (Å, degrees): 5.377 5.377 4.893 90.00 90.00 120.00
Atoms (fractional coordinates):
1 Ta 0.000 0.337 0.252
2 Ta 0.000 0.663 0.748
3 Ta 0.337 0.000 0.252
4 Ta 0.337 0.337 0.748
5 Ta 0.663 0.000 0.748
6 Ta 0.663 0.663 0.252
7 C 0.000 0.000 0.500
8 C 0.333 0.667 0.000
9 C 0.667 0.333 0.000

Calculated values
Total energy, eV per atom: -12.1934
Formation energy from the elements, eV/atom: -0.611
Volume, Å³ per atom: 13.6